No. 1
# Cs2RbTlCl

A relaxed Cs2RbTlCl crystal (PBE, Alexandria).

Calculated values
E_tot   -2.06 eV/atom
Crystal system   tetragonal
Space group   P4/mmm (123)
Formation energy without anion corrections   -0.685 eV per atom
Magnetic moment   0.00 μB/f.u.

Cell: 6.774 6.774 6.441 Å, 90.00 90.00 90.00°
Positions (direct):
Cs (0.000, 0.500, 0.000)
Cs (0.500, 0.000, 0.000)
Rb (0.000, 0.000, 0.500)
Tl (0.500, 0.500, 0.500)
Cl (0.000, 0.000, 0.000)

No. 2
# TmHPtRh2

A relaxed TmHPtRh2 crystal (PBE, Alexandria).

Calculated values
E_tot   -6.38 eV/atom
Crystal system   tetragonal
Space group   P4/mmm (123)
Magnetic moment   0.00 μB/f.u.

Cell: 4.105 4.105 4.033 Å, 90.00 90.00 90.00°
Positions (direct):
Tm (0.000, 0.000, 0.000)
H (0.500, 0.500, 0.500)
Pt (0.500, 0.500, 0.000)
Rh (0.000, 0.500, 0.500)
Rh (0.500, 0.000, 0.500)

No. 3
# Ba2BeAgPt

A relaxed Ba2BeAgPt crystal (PBE, Alexandria).

Calculated values
Offset from the most stable computed form   0.000 eV/f.u.
ΔE_f   -125 kJ/mol of formula units
E_tot   -3.55 eV/atom
Crystal system   tetragonal
Space group   P4/mmm (123)
Magnetic moment   0.00 μB/f.u.

Cell: 6.132 6.132 4.418 Å, 90.00 90.00 90.00°
Positions (direct):
Ba (0.000, 0.500, 0.000)
Ba (0.500, 0.000, 0.000)
Be (0.000, 0.000, 0.500)
Ag (0.500, 0.500, 0.500)
Pt (0.000, 0.000, 0.000)

No. 4
# BaThGe2

A relaxed BaThGe2 crystal (PBE, Alexandria).

Calculated values
ΔE_f   -160 kJ/mol of formula units
E_tot   -5.06 eV/atom
Crystal system   trigonal
Space group   R-3m (166)
Magnetic moment   0.00 μB/f.u.

Cell: 4.569 4.569 22.207 Å, 90.00 90.00 120.00°
Positions (direct):
Ba (0.000, 0.000, 0.000)
Ba (0.333, 0.667, 0.667)
Ba (0.667, 0.333, 0.333)
Th (0.000, 0.000, 0.500)
Th (0.333, 0.667, 0.167)
Th (0.667, 0.333, 0.833)
Ge (0.000, 0.000, 0.233)
Ge (0.000, 0.000, 0.767)
Ge (0.333, 0.667, 0.434)
Ge (0.333, 0.667, 0.900)
Ge (0.667, 0.333, 0.100)
Ge (0.667, 0.333, 0.566)

No. 5
# Sr2In2Ag

A relaxed Sr2In2Ag crystal (PBE, Alexandria).

Calculated values
Offset from the most stable computed form   0.000 eV/f.u.
ΔE_f   -183 kJ/mol of formula units
E_tot   -2.72 eV/atom
Crystal system   monoclinic
Space group   C2/m (12)
Magnetic moment   0.00 μB/f.u.

Cell: 6.332 6.332 12.179 Å, 114.86 114.86 46.53°
Positions (direct):
Sr (0.012, 0.012, 0.333)
Sr (0.193, 0.193, 0.113)
Sr (0.807, 0.807, 0.887)
Sr (0.988, 0.988, 0.667)
In (0.352, 0.352, 0.439)
In (0.487, 0.487, 0.116)
In (0.513, 0.513, 0.884)
In (0.648, 0.648, 0.561)
Ag (0.277, 0.277, 0.653)
Ag (0.723, 0.723, 0.347)

No. 6
# CoIrPt2

A relaxed CoIrPt2 crystal (PBE, Alexandria).

Calculated values
Offset from the most stable computed form   0.681 eV/f.u.
ΔE_f   57 kJ/mol of formula units
E_tot   -6.86 eV/atom
Crystal system   orthorhombic
Space group   Cmm2 (35)
Magnetic moment   2.30 μB/f.u.

Cell: 2.712 4.697 9.257 Å, 90.00 90.00 90.00°
Positions (direct):
Co (0.000, 0.000, 0.000)
Co (0.500, 0.500, 0.000)
Ir (0.000, 0.500, 0.226)
Ir (0.500, 0.000, 0.226)
Pt (0.000, 0.000, 0.490)
Pt (0.000, 0.500, 0.760)
Pt (0.500, 0.000, 0.760)
Pt (0.500, 0.500, 0.490)

No. 7
# Dy4Y3Er3

A relaxed Dy4Y3Er3 crystal (PBE, Alexandria).

Calculated values
ΔE_f   93 kJ/mol of formula units
E_tot   -5.05 eV/atom
Crystal system   orthorhombic
Space group   Amm2 (38)
Magnetic moment   0.00 μB/f.u.

Cell: 3.723 9.245 9.245 Å, 90.01 90.00 90.00°
Positions (direct):
Dy (0.000, 0.000, 0.000)
Dy (0.000, 0.256, 0.256)
Dy (0.000, 0.503, 0.757)
Dy (0.000, 0.757, 0.503)
Y (0.500, 0.300, 0.957)
Y (0.500, 0.458, 0.458)
Y (0.500, 0.957, 0.300)
Er (0.000, 0.128, 0.629)
Er (0.000, 0.629, 0.128)
Er (0.500, 0.800, 0.800)

No. 8
# CsHg2RuF8

A relaxed CsHg2RuF8 crystal (PBE, Alexandria).

Calculated values
E_tot   -3.84 eV/atom
Crystal system   triclinic
Space group   P-1 (2)
Formation energy without anion corrections   -1.697 eV per atom
Magnetic moment   1.00 μB/f.u.

Cell: 4.777 5.756 8.696 Å, 87.18 86.07 71.98°
Positions (direct):
Cs (0.000, 0.000, 0.000)
Hg (0.414, 0.474, 0.709)
Hg (0.586, 0.526, 0.291)
Ru (0.000, 0.000, 0.500)
F (0.008, 0.754, 0.346)
F (0.071, 0.209, 0.325)
F (0.397, 0.303, 0.927)
F (0.418, 0.778, 0.525)
F (0.582, 0.222, 0.475)
F (0.603, 0.697, 0.073)
F (0.929, 0.791, 0.675)
F (0.992, 0.246, 0.654)

- magnetic moment of number 6 (CoIrPt2)?
  2.30 μB/f.u.